Entry from Alexandria via LeMat-Bulk: crystalline Sc3Ga4Rh2 at its relaxed geometry (GGA-PBE).

The energy comes out at -5.88 eV per atom. Its density is 6620 kg/m³. The energy of formation comes out at -0.79 eV per atom.

It has space group C2/m (No. 12), with a = 9.957 Å, b = 4.421 Å, c = 8.122 Å, α = 90.00°, β = 119.61° and γ = 90.00°. The asymmetric unit holds Sc at (0.000, 0.000, 0.000), Sc at (0.167, 0.500, 0.663), Ga at (0.074, 0.000, 0.403), Ga at (0.192, 0.500, 0.030) and Rh at (0.107, 0.500, 0.276).

Entry from Alexandria via LeMat-Bulk: crystalline Zr3Ir5 at its relaxed geometry (GGA-PBE).

The energy comes out at -9.50 eV per atom. Its density is 15084 kg/m³. The energy of formation comes out at -0.76 eV per atom.

It has space group Cmmm (No. 65), with a = 7.588 Å, b = 8.418 Å, c = 4.256 Å, α = 90.00°, β = 90.00° and γ = 90.00°. The asymmetric unit holds Zr at (0.000, 0.000, 0.000), Zr at (0.000, 0.287, 0.500), Ir at (0.000, 0.500, 0.000), Ir at (0.225, 0.000, 0.500) and Ir at (0.250, 0.250, 0.000).